[1]
! Np2ZnSi4Ir3 (PBE, relaxed); values from VASP
&SYSTEM
  ibrav = 0, nat = 10, ntyp = 4
/
ATOMIC_SPECIES
Np 237.00 Np.upf
Zn 65.41 Zn.upf
Si 28.09 Si.upf
Ir 192.22 Ir.upf
ATOMIC_POSITIONS crystal
Np 0.000 0.500 0.246
Np 0.500 0.000 0.754
Zn 0.000 0.000 0.500
Si 0.000 0.000 0.000
Si 0.000 0.500 0.638
Si 0.500 0.000 0.362
Si 0.500 0.500 0.000
Ir 0.000 0.500 0.874
Ir 0.500 0.000 0.126
Ir 0.500 0.500 0.500
CELL_PARAMETERS angstrom
4.126 0.000 0.000
0.000 4.126 0.000
0.000 0.000 10.006
! ΔE_f (raw)   -0.566 eV per atom
! M_tot   7.07 μB/f.u.
! E_tot   -81.091 eV per formula unit



[2]
! Ho4Tm7Cd (PBE, relaxed); values from VASP
&SYSTEM
  ibrav = 0, nat = 12, ntyp = 3
/
ATOMIC_SPECIES
Ho 164.93 Ho.upf
Tm 168.93 Tm.upf
Cd 112.41 Cd.upf
ATOMIC_POSITIONS crystal
Ho 0.333 0.667 0.160
Ho 0.333 0.667 0.415
Ho 0.667 0.333 0.585
Ho 0.667 0.333 0.840
Tm 0.000 0.000 0.245
Tm 0.000 0.000 0.500
Tm 0.000 0.000 0.755
Tm 0.333 0.667 0.670
Tm 0.333 0.667 0.925
Tm 0.667 0.333 0.075
Tm 0.667 0.333 0.330
Cd 0.000 0.000 0.000
CELL_PARAMETERS angstrom
3.508 0.000 0.000
-1.754 3.038 0.000
0.000 0.000 33.515
! M_tot   0.00 μB/f.u.
! E_tot   -50.592 eV per formula unit
! ΔE_f   -0.065 eV/f.u.



[3]
! Hf2Zn2Pd3 (PBE, relaxed); values from VASP
&SYSTEM
  ibrav = 0, nat = 7, ntyp = 3
/
ATOMIC_SPECIES
Hf 178.49 Hf.upf
Zn 65.41 Zn.upf
Pd 106.42 Pd.upf
ATOMIC_POSITIONS crystal
Hf 0.077 0.077 0.328
Hf 0.923 0.923 0.672
Zn 0.293 0.293 0.100
Zn 0.707 0.707 0.900
Pd 0.308 0.308 0.759
Pd 0.500 0.500 0.500
Pd 0.692 0.692 0.241
CELL_PARAMETERS angstrom
3.991 -2.351 0.000
3.991 2.351 0.000
-3.911 0.000 6.394
! M_tot   0.00 μB/f.u.
! E_tot   -42.038 eV per formula unit
! ΔE_f   -4.004 eV/f.u.



[4]
! BaIrOs2Pt (PBE, relaxed); values from VASP
&SYSTEM
  ibrav = 0, nat = 5, ntyp = 4
/
ATOMIC_SPECIES
Ba 137.33 Ba.upf
Ir 192.22 Ir.upf
Os 190.23 Os.upf
Pt 195.08 Pt.upf
ATOMIC_POSITIONS crystal
Ba 0.000 0.000 0.000
Ir 0.500 0.500 0.500
Os 0.000 0.500 0.000
Os 0.500 0.000 0.000
Pt 0.000 0.000 0.500
CELL_PARAMETERS angstrom
4.983 0.000 0.000
0.000 4.983 0.000
0.000 0.000 5.052
! M_tot   3.86 μB/f.u.
! E_tot   -20.824 eV per formula unit
! ΔE_f   18.460 eV/f.u.



[5]
! AcPm4Rh5 (PBE, relaxed); values from VASP
&SYSTEM
  ibrav = 0, nat = 10, ntyp = 3
/
ATOMIC_SPECIES
Ac 227.00 Ac.upf
Pm 145.00 Pm.upf
Rh 102.91 Rh.upf
ATOMIC_POSITIONS crystal
Ac 0.000 0.000 0.000
Pm 0.000 0.000 0.206
Pm 0.000 0.000 0.402
Pm 0.000 0.000 0.598
Pm 0.000 0.000 0.794
Rh 0.500 0.500 0.113
Rh 0.500 0.500 0.305
Rh 0.500 0.500 0.500
Rh 0.500 0.500 0.695
Rh 0.500 0.500 0.887
CELL_PARAMETERS angstrom
3.555 0.000 0.000
0.000 3.555 0.000
0.000 0.000 17.805
! M_tot   0.00 μB/f.u.
! E_tot   -66.237 eV per formula unit
! ΔE_f   -6.369 eV/f.u.



[6]
! La2Pt2O7 (PBE, relaxed); values from VASP
&SYSTEM
  ibrav = 0, nat = 22, ntyp = 3
/
ATOMIC_SPECIES
La 138.91 La.upf
Pt 195.08 Pt.upf
O 16.00 O.upf
ATOMIC_POSITIONS crystal
La 0.000 0.000 0.000
La 0.000 0.000 0.500
La 0.000 0.500 0.000
La 0.500 0.000 0.000
Pt 0.000 0.500 0.500
Pt 0.500 0.000 0.500
Pt 0.500 0.500 0.000
Pt 0.500 0.500 0.500
O 0.125 0.125 0.125
O 0.167 0.167 0.583
O 0.167 0.583 0.167
O 0.167 0.583 0.583
O 0.417 0.417 0.833
O 0.417 0.833 0.417
O 0.417 0.833 0.833
O 0.583 0.167 0.167
O 0.583 0.167 0.583
O 0.583 0.583 0.167
O 0.833 0.417 0.417
O 0.833 0.417 0.833
O 0.833 0.833 0.417
O 0.875 0.875 0.875
CELL_PARAMETERS angstrom
0.000 5.312 5.312
5.312 0.000 5.312
5.312 5.312 0.000
! Polymorph energy (0 for the lowest one)   0 meV per atom
! ΔE_f (raw)   -1.929 eV per atom
! M_tot   0.00 μB/f.u.
! E_tot   -77.858 eV per formula unit



[7]
! K2LiIF6 (PBE, relaxed); values from VASP
&SYSTEM
  ibrav = 0, nat = 10, ntyp = 4
/
ATOMIC_SPECIES
K 39.10 K.upf
Li 6.94 Li.upf
I 126.90 I.upf
F 19.00 F.upf
ATOMIC_POSITIONS crystal
K 0.238 0.087 0.334
K 0.762 0.913 0.666
Li 0.000 0.500 0.500
I 0.500 0.500 0.000
F 0.108 0.251 0.984
F 0.185 0.800 0.565
F 0.403 0.454 0.698
F 0.597 0.546 0.302
F 0.815 0.200 0.435
F 0.892 0.749 0.016
CELL_PARAMETERS angstrom
4.916 0.000 0.000
-2.093 6.165 0.000
-1.497 -1.555 6.779
! ΔE_f (raw)   -2.258 eV per atom
! M_tot   0.00 μB/f.u.
! E_tot   -39.466 eV per formula unit



[8]
! Rb3InAu (PBE, relaxed); values from VASP
&SYSTEM
  ibrav = 0, nat = 20, ntyp = 3
/
ATOMIC_SPECIES
Rb 85.47 Rb.upf
In 114.82 In.upf
Au 196.97 Au.upf
ATOMIC_POSITIONS crystal
Rb 0.125 0.158 0.435
Rb 0.125 0.342 0.935
Rb 0.231 0.539 0.672
Rb 0.231 0.961 0.172
Rb 0.314 0.001 0.798
Rb 0.314 0.499 0.298
Rb 0.686 0.501 0.702
Rb 0.686 0.999 0.202
Rb 0.769 0.039 0.828
Rb 0.769 0.461 0.328
Rb 0.875 0.658 0.065
Rb 0.875 0.842 0.565
In 0.430 0.646 0.018
In 0.430 0.854 0.518
In 0.570 0.146 0.482
In 0.570 0.354 0.982
Au 0.103 0.732 0.889
Au 0.103 0.768 0.389
Au 0.897 0.232 0.611
Au 0.897 0.268 0.111
CELL_PARAMETERS angstrom
9.140 0.000 0.000
0.000 9.027 0.000
-4.786 0.000 11.022
! Polymorph energy (0 for the lowest one)   0 meV per atom
! M_tot   0.00 μB/f.u.
! E_tot   -9.559 eV per formula unit
! ΔE_f   -0.640 eV/f.u.



[9]
! MgIn2Ni (PBE, relaxed); values from VASP
&SYSTEM
  ibrav = 0, nat = 4, ntyp = 3
/
ATOMIC_SPECIES
Mg 24.30 Mg.upf
In 114.82 In.upf
Ni 58.69 Ni.upf
ATOMIC_POSITIONS crystal
Mg 0.000 0.000 0.000
In 0.342 0.500 0.685
In 0.718 0.000 0.437
Ni 0.578 0.500 0.157
CELL_PARAMETERS angstrom
3.513 0.000 0.000
0.000 4.202 0.000
-1.740 0.000 5.528
! M_tot   0.00 μB/f.u.
! E_tot   -12.781 eV per formula unit
! ΔE_f   0.071 eV/f.u.



[10]
! Mg4GePd2 (PBE, relaxed); values from VASP
&SYSTEM
  ibrav = 0, nat = 7, ntyp = 3
/
ATOMIC_SPECIES
Mg 24.30 Mg.upf
Ge 72.64 Ge.upf
Pd 106.42 Pd.upf
ATOMIC_POSITIONS crystal
Mg 0.000 0.500 0.500
Mg 0.216 0.216 0.000
Mg 0.500 0.000 0.500
Mg 0.784 0.784 0.000
Ge 0.500 0.500 0.500
Pd 0.272 0.728 0.000
Pd 0.728 0.272 0.000
CELL_PARAMETERS angstrom
3.345 -4.445 0.000
3.345 4.445 0.000
0.000 0.000 4.351
! Polymorph energy (0 for the lowest one)   0 meV per atom
! M_tot   0.00 μB/f.u.
! E_tot   -24.754 eV per formula unit
! ΔE_f   -3.372 eV/f.u.



[11]
! CaCoC (PBE, relaxed); values from VASP
&SYSTEM
  ibrav = 0, nat = 6, ntyp = 3
/
ATOMIC_SPECIES
Ca 40.08 Ca.upf
Co 58.93 Co.upf
C 12.01 C.upf
ATOMIC_POSITIONS crystal
Ca 0.000 0.000 0.000
Ca 0.401 0.329 0.552
Co 0.338 0.696 0.256
Co 0.755 0.291 0.259
C 0.749 0.964 0.433
C 0.899 0.796 0.313
CELL_PARAMETERS angstrom
3.801 0.000 0.000
-1.084 3.787 0.000
-1.195 -0.738 7.702
! Polymorph energy (0 for the lowest one)   284 meV per atom
! M_tot   0.00 μB/f.u.
! E_tot   -17.863 eV per formula unit
! ΔE_f   0.468 eV/f.u.



[12]
! AlRe2Te (PBE, relaxed); values from VASP
&SYSTEM
  ibrav = 0, nat = 4, ntyp = 3
/
ATOMIC_SPECIES
Al 26.98 Al.upf
Re 186.21 Re.upf
Te 127.60 Te.upf
ATOMIC_POSITIONS crystal
Al 0.000 0.000 0.000
Re 0.384 0.500 0.210
Re 0.616 0.500 0.790
Te 0.000 0.000 0.500
CELL_PARAMETERS angstrom
3.068 0.000 0.000
0.000 4.089 0.000
-1.330 0.000 5.450
! Polymorph energy (0 for the lowest one)   377 meV per atom
! ΔE_f (raw)   0.615 eV per atom
! M_tot   0.00 μB/f.u.
! E_tot   -29.322 eV per formula unit



Q: M_tot of number 2 (Ho4Tm7Cd)?
A: 0.00 μB/f.u.